First-principles (GGA-PBE) data for an optimized crystal structure of CsCd3N, as listed in Alexandria.

Structure (CIF):
```
data_CsCd3N
_chemical_formula_sum 'Cs1 Cd3 N1'
_cell_length_a 5.1331
_cell_length_b 5.1331
_cell_length_c 5.1331
_cell_angle_alpha 90.00
_cell_angle_beta 90.00
_cell_angle_gamma 90.00
_space_group_name_H-M_alt 'P 1'
_space_group_IT_number 1
loop_
_space_group_symop_operation_xyz
'x,y,z'
loop_
_atom_site_label
_atom_site_type_symbol
_atom_site_fract_x
_atom_site_fract_y
_atom_site_fract_z
N1 N 0.0000 0.0000 0.0000
Cd1 Cd 0.0000 0.5000 0.0000
Cd2 Cd 0.0000 0.0000 0.5000
Cd3 Cd 0.5000 0.0000 0.0000
Cs1 Cs 0.5000 0.5000 0.5000
```

Properties
raw formation energy = 678 meV/atom
DOS(E_F) = 0.475 states/eV/atom
crystal system = cubic

First-principles (GGA-PBE) data for an optimized crystal structure of Cs2RbCdN, as listed in Alexandria.

Structure (CIF):
```
data_Cs2RbCdN
_chemical_formula_sum 'Cs2 Rb1 Cd1 N1'
_cell_length_a 7.3330
_cell_length_b 4.6885
_cell_length_c 7.3330
_cell_angle_alpha 90.00
_cell_angle_beta 90.00
_cell_angle_gamma 90.00
_space_group_name_H-M_alt 'P 1'
_space_group_IT_number 1
loop_
_space_group_symop_operation_xyz
'x,y,z'
loop_
_atom_site_label
_atom_site_type_symbol
_atom_site_fract_x
_atom_site_fract_y
_atom_site_fract_z
Cs1 Cs 0.0000 0.0000 0.5000
Cs2 Cs 0.5000 0.0000 0.0000
N1 N 0.0000 0.5000 0.0000
Cd1 Cd 0.5000 0.5000 0.5000
Rb1 Rb 0.0000 0.0000 0.0000
```

Properties
raw formation energy = 765 meV/atom
DOS(E_F) = 0.680 states/eV/atom
crystal system = tetragonal

First-principles (GGA-PBE) data for an optimized crystal structure of CsCdSN2, as listed in Alexandria.

Structure (CIF):
```
data_CsCdSN2
_chemical_formula_sum 'Cs1 Cd1 S1 N2'
_cell_length_a 4.3796
_cell_length_b 4.3796
_cell_length_c 6.9746
_cell_angle_alpha 90.00
_cell_angle_beta 90.00
_cell_angle_gamma 90.00
_space_group_name_H-M_alt 'P 1'
_space_group_IT_number 1
loop_
_space_group_symop_operation_xyz
'x,y,z'
loop_
_atom_site_label
_atom_site_type_symbol
_atom_site_fract_x
_atom_site_fract_y
_atom_site_fract_z
Cs1 Cs 0.0000 0.0000 0.0000
N1 N 0.0000 0.5000 0.0000
N2 N 0.5000 0.0000 0.0000
Cd1 Cd 0.5000 0.5000 0.5000
S1 S 0.0000 0.0000 0.5000
```

Properties
raw formation energy = 2153 meV/atom
DOS(E_F) = 0.775 states/eV/atom
crystal system = tetragonal